Crystalline Mg2MnPBr at its relaxed geometry. Source: Alexandria via LeMat-Bulk, functional PBE.

## Properties
Energy relative to the elements, uncorrected in eV per atom: 0.683
Volume in A^3/atom: 23.4

Geometry as POSCAR:
```
Mg2MnPBr
1.0
-2.736 0.387 4.261
-3.738 -1.181 -2.293
0.913 -4.888 1.030
Mn Br Mg P
1 1 2 1
Direct
0.000 0.500 0.000 Mn
0.000 0.000 0.000 Br
0.500 0.000 0.000 Mg
0.000 0.000 0.500 Mg
0.500 0.500 0.500 P
```